A relaxed Cs2LiBiI6 crystal. Source: Alexandria, functional PBE-GGA.

Summary:
Density of states at the Fermi level, states/eV per atom: 0.000
Crystal system: cubic
Spin magnetization, Bohr magnetons per cell: 0.00
Formation energy without anion corrections, eV per atom: -1.042
Polymorph energy (0 for the lowest one), eV per formula unit: 0.06

Geometry as extended XYZ:
```
10
Lattice="0.000 6.103 6.103 6.103 0.000 6.103 6.103 6.103 0.000" Properties=species:S:1:pos:R:3 pbc="T T T"
Cs 3.052 3.052 3.052
Cs 9.155 9.155 9.155
Li 0.000 0.000 0.000
Bi 6.103 6.103 6.103
I 6.103 6.103 3.012
I 6.103 3.012 6.103
I 9.194 6.103 6.103
I 3.012 6.103 6.103
I 6.103 9.194 6.103
I 6.103 6.103 9.194
```

A relaxed CsLi2BiI6 crystal. Source: Alexandria, functional PBE-GGA.

Summary:
Density of states at the Fermi level, states/eV per atom: 0.000
Crystal system: trigonal
Spin magnetization, Bohr magnetons per cell: 0.00
Formation energy without anion corrections, eV per atom: -0.979

Geometry as extended XYZ:
```
10
Lattice="3.808 2.198 9.379 -3.808 2.198 9.379 0.000 -4.397 9.379" Properties=species:S:1:pos:R:3 pbc="T T T"
Cs 0.000 0.000 0.000
Li 0.000 0.000 4.708
Li 0.000 0.000 23.429
Bi 0.000 0.000 14.069
I -1.321 -2.225 12.353
I -2.587 0.032 15.785
I -1.266 2.256 12.353
I 1.266 -2.256 15.785
I 2.587 -0.032 12.353
I 1.321 2.225 15.785
```